A geometry-optimized ErTiZn2 structure, computed with PBE.

Values from the calculation:
**Distance to the lowest polymorph of the same formula**: 0.000 eV per atom
**Formation energy from the elements**: -0.861 eV per formula unit

Cell: 3.336 3.336 6.683 Å, 90.00 90.00 90.00°
Space group P4/mmm (No. 123)
One atom of each set of equivalent atoms:
Er 0.000 0.000 0.000 (multiplicity 1)
Ti 0.000 0.000 0.500 (multiplicity 1)
Zn 0.500 0.500 0.288 (multiplicity 2)


A geometry-optimized ErTiZn2 structure, computed with PBE.

Values from the calculation:
**Distance to the lowest polymorph of the same formula**: 0.044 eV per atom
**Formation energy from the elements**: -0.683 eV per formula unit

Cell: 6.703 6.703 6.703 Å, 90.00 90.00 90.00°
Space group Fm-3m (No. 225)
One atom of each set of equivalent atoms:
Er 0.000 0.000 0.000 (multiplicity 4)
Ti 0.000 0.000 0.500 (multiplicity 4)
Zn 0.250 0.250 0.250 (multiplicity 8)


A geometry-optimized ErZrTiZn structure, computed with PBE.

Values from the calculation:
**Formation energy from the elements**: 0.122 eV per formula unit

Cell: 6.967 6.967 6.967 Å, 90.00 90.00 90.00°
Space group F-43m (No. 216)
One atom of each set of equivalent atoms:
Er 0.000 0.000 0.000 (multiplicity 4)
Zr 0.000 0.000 0.500 (multiplicity 4)
Ti 0.250 0.250 0.750 (multiplicity 4)
Zn 0.250 0.250 0.250 (multiplicity 4)


A geometry-optimized ErZr2Ti structure, computed with PBE.

Values from the calculation:
**Distance to the lowest polymorph of the same formula**: 0.041 eV per atom
**Formation energy from the elements**: 0.640 eV per formula unit

Cell: 4.515 4.515 4.532 Å, 90.00 90.00 90.00°
Space group P4/mmm (No. 123)
One atom of each set of equivalent atoms:
Er 0.000 0.000 0.000 (multiplicity 1)
Zr 0.000 0.500 0.500 (multiplicity 2)
Ti 0.500 0.500 0.000 (multiplicity 1)


A geometry-optimized Er2ZrTi structure, computed with PBE.

Values from the calculation:
**Distance to the lowest polymorph of the same formula**: 0.000 eV per atom
**Formation energy from the elements**: 0.766 eV per formula unit

Cell: 4.590 4.590 4.677 Å, 90.00 90.00 90.00°
Space group P4/mmm (No. 123)
One atom of each set of equivalent atoms:
Er 0.000 0.500 0.000 (multiplicity 2)
Zr 0.000 0.000 0.500 (multiplicity 1)
Ti 0.500 0.500 0.500 (multiplicity 1)


A geometry-optimized ErZrTi4 structure, computed with PBE.

Values from the calculation:
**Formation energy from the elements**: 1.271 eV per formula unit

Cell: 7.977 7.977 7.977 Å, 90.00 90.00 90.00°
Space group F-43m (No. 216)
One atom of each set of equivalent atoms:
Er 0.000 0.000 0.000 (multiplicity 4)
Zr 0.250 0.250 0.250 (multiplicity 4)
Ti 0.123 0.123 0.623 (multiplicity 16)


A geometry-optimized ErZr2Ti structure, computed with PBE.

Values from the calculation:
**Distance to the lowest polymorph of the same formula**: 0.032 eV per atom
**Formation energy from the elements**: 0.606 eV per formula unit

Cell: 3.2018 3.2018 31.2920 Å, 90.00 90.00 120.00°
Space group R-3m (No. 166, hexagonal axes)
One atom of each set of equivalent atoms:
Er 0.0000 0.0000 0.0000 (multiplicity 3)
Zr 0.0000 0.0000 0.2432 (multiplicity 6)
Ti 0.0000 0.0000 0.5000 (multiplicity 3)


A geometry-optimized ErZr2Ti structure, computed with PBE.

Values from the calculation:
**Distance to the lowest polymorph of the same formula**: 0.000 eV per atom
**Formation energy from the elements**: 0.477 eV per formula unit

Cell: 3.636 3.636 7.054 Å, 90.00 90.00 90.00°
Space group P4/mmm (No. 123)
One atom of each set of equivalent atoms:
Er 0.000 0.000 0.000 (multiplicity 1)
Zr 0.500 0.500 0.295 (multiplicity 2)
Ti 0.000 0.000 0.500 (multiplicity 1)


A geometry-optimized Er2ZrTi structure, computed with PBE.

Values from the calculation:
**Distance to the lowest polymorph of the same formula**: 0.008 eV per atom
**Formation energy from the elements**: 0.796 eV per formula unit

Cell: 3.3002 3.3002 31.4840 Å, 90.00 90.00 120.00°
Space group R3m (No. 160, hexagonal axes)
One atom of each set of equivalent atoms:
Er 0.0000 0.0000 0.0000 (multiplicity 3)
Er 0.0000 0.0000 0.1736 (multiplicity 3)
Zr 0.0000 0.0000 0.4202 (multiplicity 3)
Ti 0.0000 0.0000 0.5865 (multiplicity 3)


A geometry-optimized ErZr2Ti structure, computed with PBE.

Values from the calculation:
**Distance to the lowest polymorph of the same formula**: 0.020 eV per atom
**Formation energy from the elements**: 0.559 eV per formula unit

Cell: 3.2204 3.2204 31.0642 Å, 90.00 90.00 120.00°
Space group R3m (No. 160, hexagonal axes)
One atom of each set of equivalent atoms:
Er 0.0000 0.0000 0.0000 (multiplicity 3)
Zr 0.0000 0.0000 0.5771 (multiplicity 3)
Zr 0.0000 0.0000 0.7574 (multiplicity 3)
Ti 0.0000 0.0000 0.1672 (multiplicity 3)


A geometry-optimized Er5Tl3 structure, computed with PBE.

Values from the calculation:
**Distance to the lowest polymorph of the same formula**: 0.022 eV per atom
**Formation energy from the elements**: -2.199 eV per formula unit

Cell: 8.045 8.045 14.027 Å, 90.00 90.00 90.00°
Space group I4/mcm (No. 140)
One atom of each set of equivalent atoms:
Er 0.000 0.000 0.000 (multiplicity 4)
Er 0.158 0.342 0.153 (multiplicity 16)
Tl 0.000 0.000 0.250 (multiplicity 4)
Tl 0.138 0.362 0.500 (multiplicity 8)


A geometry-optimized Er5Tl2 structure, computed with PBE.

Values from the calculation:
**Distance to the lowest polymorph of the same formula**: 0.000 eV per atom
**Formation energy from the elements**: -1.336 eV per formula unit

Cell: 16.225 5.357 9.262 Å, 90.00 100.87 90.00°
Space group C2/c (No. 15)
One atom of each set of equivalent atoms:
Er 0.000 0.250 0.250 (multiplicity 4)
Er 0.139 0.250 0.963 (multiplicity 8)
Er 0.231 0.249 0.327 (multiplicity 8)
Tl 0.075 0.250 0.608 (multiplicity 8)